[1]
A plane-wave DFT calculation with PBE was carried out for a geometry-optimized Rb2Tl3CdAu4 structure.

Output
**Volume**: 29.96 Å³/atom
**Formation enthalpy at 0 K**: -179.4 meV per atom
**Spin magnetization**: 0.0 μB/f.u.

Cell lengths 5.077, 5.077, 11.624 Å; angles 90.00, 90.00, 90.00 degrees
Sites, in units of the cell vectors:
Tl 0.500 0.000 0.876
Tl 0.000 0.000 0.500
Tl 0.000 0.500 0.124
Cd 0.500 0.500 0.500
Au 0.000 0.000 0.000
Au 0.500 0.500 0.000
Au 0.000 0.500 0.374
Au 0.500 0.000 0.626
Rb 0.500 0.000 0.242
Rb 0.000 0.500 0.758

***

[2]
A plane-wave DFT calculation with PBE was carried out for a geometry-optimized Rb3Tl2Cd2Au4 structure.

Output
**Volume**: 34.01 Å³/atom
**Formation enthalpy at 0 K**: -175.7 meV per atom
**Spin magnetization**: 0.0 μB/f.u.

Cell lengths 4.982, 4.982, 17.408 Å; angles 90.00, 90.00, 120.00 degrees
Sites, in units of the cell vectors:
Rb 0.000 0.000 0.722
Rb 0.000 0.000 0.000
Rb 0.000 0.000 0.278
Tl 0.333 0.667 0.570
Tl 0.667 0.333 0.430
Au 0.667 0.333 0.598
Au 0.333 0.667 0.864
Au 0.667 0.333 0.136
Au 0.333 0.667 0.402
Cd 0.667 0.333 0.862
Cd 0.333 0.667 0.138

***

[3]
A plane-wave DFT calculation with PBE was carried out for a geometry-optimized RbTlCd2Au structure.

Output
**Volume**: 33.62 Å³/atom
**Formation enthalpy at 0 K**: -62.7 meV per atom
**Spin magnetization**: 0.0 μB/f.u.

Cell lengths 5.441, 5.441, 5.679 Å; angles 90.00, 90.00, 90.00 degrees
Sites, in units of the cell vectors:
Cd 0.000 0.500 0.000
Cd 0.500 0.000 0.000
Tl 0.000 0.000 0.500
Au 0.000 0.000 0.000
Rb 0.500 0.500 0.500

***

[4]
A plane-wave DFT calculation with PBE was carried out for a geometry-optimized Rb2TlCdAu2 structure.

Output
**Volume**: 34.07 Å³/atom
**Formation enthalpy at 0 K**: -210.9 meV per atom
**Spin magnetization**: 0.0 μB/f.u.

Cell lengths 7.049, 7.050, 9.619 Å; angles 111.50, 111.49, 90.00 degrees
Sites, in units of the cell vectors:
Rb 0.676 0.922 0.352
Rb 0.176 0.430 0.352
Rb 0.824 0.570 0.648
Rb 0.324 0.078 0.648
Cd 0.750 0.500 0.000
Cd 0.250 0.500 0.000
Au 0.402 0.645 0.804
Au 0.598 0.355 0.196
Au 0.902 0.159 0.804
Au 0.098 0.841 0.196
Tl 0.250 0.000 0.000
Tl 0.750 0.000 0.000

***

Question: Among the records above, which one has the highest formation enthalpy at 0 K?
Answer: RbTlCd2Au